Here is crystalline NaMn4Cu3O12 at its relaxed geometry from Alexandria. Energies are from PBE+U.

Structure (POSCAR):
```
NaMn4Cu3O12
1.0
-5.5596 -3.1003 -0.0569
4.1503 -3.0163 -3.7685
2.2707 0.1760 5.9445
O Cu Mn Na
12 3 4 1
direct
0.3136 0.8253 0.1389 O
0.5117 0.6864 0.8253 O
0.6864 0.1747 0.8611 O
0.3136 0.1747 0.4883 O
0.6864 0.8253 0.5117 O
0.1747 0.8611 0.6864 O
0.1389 0.3136 0.8253 O
0.8253 0.1389 0.3136 O
0.1747 0.4883 0.3136 O
0.8611 0.6864 0.1747 O
0.8253 0.5117 0.6864 O
0.4883 0.3136 0.1747 O
0.5000 0.5000 0.0000 Cu
0.5000 0.0000 0.5000 Cu
0.0000 0.5000 0.5000 Cu
0.5000 0.0000 0.0000 Mn
0.0000 0.5000 0.0000 Mn
0.0000 0.0000 0.5000 Mn
0.5000 0.5000 0.5000 Mn
0.0000 0.0000 0.0000 Na
```

Calculated values
DFT total energy = -6.255 eV per atom
total moment = 14.01 μB per cell